Entry 1:
# KFeN

KFeN after structural relaxation (PBE-GGA, Alexandria via LeMat-Bulk).

abc: 3.0856 3.0856 5.7967
angles: 90.01 105.42 120.01
Last column: nearest neighbours and their distance in Å.
Element x y z (fractional)
1 K 0.7203 0.6909 0.9112  3 N 2.86, 6 K 3.09, 3 Fe 3.19
2 N 0.1166 0.8887 0.5053  3 Fe 1.83
3 Fe 0.7341 0.1974 0.4315  3 N 1.83

Computed properties:
Total magnetization   0.00 μB/atom
Polymorph energy (0 for the lowest one)   0.183 eV/atom
Crystal system   trigonal
Space group   R3m
Energy relative to the elements, uncorrected   0.14 eV per atom



Entry 2:
# TaInRe2

TaInRe2 after structural relaxation (PBE-GGA, Alexandria via LeMat-Bulk).

abc: 3.2903 3.2903 6.3142
angles: 90.00 90.00 90.00
Last column: nearest neighbours and their distance in Å.
Element x y z (fractional)
1 In 0.5000 0.5000 0.7500  8 Re 2.87, 2 Ta 3.16
2 Ta 0.5000 0.5000 0.2500  8 Re 2.75
3 Re 0.0000 0.0000 0.4831  4 Ta 2.75, 4 In 2.87, 1 Re 2.94
4 Re 0.0000 0.0000 0.0169  4 Ta 2.75, 4 In 2.87, 1 Re 2.94

Computed properties:
VASP energy   -38.702 eV for the cell shown
Total magnetization   0.00 μB/atom
Crystal system   tetragonal
Space group   P4/mmm



Entry 3:
# K4CeSm3S8

K4CeSm3S8 after structural relaxation (PBE-GGA, Alexandria via LeMat-Bulk).

abc: 8.3307 8.8076 8.3307
angles: 118.22 120.00 90.00
Last column: nearest neighbours and their distance in Å.
Element x y z (fractional)
1 Sm 0.5000 0.5000 0.5000  6 S 2.83-2.84
2 Sm 0.0000 0.5000 0.5000  6 S 2.83-2.84
3 Sm 0.5000 0.5000 0.0000  6 S 2.83-2.84
4 S 0.2365 0.7055 0.4730  2 Sm 2.83, 1 Ce 2.86
5 S 0.2675 0.2945 0.0310  2 Sm 2.83, 1 Ce 2.86
6 S 0.7635 0.2945 0.5270  2 Sm 2.83, 1 Ce 2.86
7 S 0.2365 0.7055 0.9690  2 Sm 2.83, 1 Ce 2.86
8 S 0.7351 0.7052 0.4701  3 Sm 2.84
9 S 0.7635 0.2945 0.0310  2 Sm 2.83, 1 Ce 2.86
10 S 0.7325 0.7055 0.9690  2 Sm 2.83, 1 Ce 2.86
11 S 0.2649 0.2948 0.5299  3 Sm 2.84
12 K 0.0000 0.0000 0.0000  6 S 3.24-3.25
13 K 0.0000 0.0000 0.5000  6 S 3.24-3.25
14 K 0.5000 0.0000 0.5000  6 S 3.24-3.25
15 K 0.5000 0.0000 0.0000  6 S 3.23
16 Ce 0.0000 0.5000 0.0000  6 S 2.86

Computed properties:
Total magnetization   0.06 μB/atom
Crystal system   trigonal
Space group   R-3m
Energy relative to the elements, uncorrected   -1.85 eV per atom



Entry 4:
# TbHfSb2

TbHfSb2 after structural relaxation (PBE-GGA, Alexandria via LeMat-Bulk).

abc: 4.1769 4.1769 7.6319
angles: 74.12 74.12 60.00
Last column: nearest neighbours and their distance in Å.
Element x y z (fractional)
1 Sb 0.0758 0.0758 0.7726  3 Hf 2.88, 3 Tb 3.08
2 Sb 0.2571 0.2571 0.2287  3 Hf 2.97, 3 Tb 3.15
3 Hf 0.6699 0.6699 0.9904  6 Sb 2.88-2.97
4 Tb 0.4973 0.4973 0.5082  6 Sb 3.08-3.15

Computed properties:
Total magnetization   0.00 μB/atom
Polymorph energy (0 for the lowest one)   0.000 eV/atom
Crystal system   trigonal
Space group   R3m
Energy relative to the elements, uncorrected   -0.71 eV per atom



Entry 5:
# BaCa2Ni2

BaCa2Ni2 after structural relaxation (PBE-GGA, Alexandria via LeMat-Bulk).

abc: 4.7389 4.7389 6.9775
angles: 70.15 70.15 90.00
Last column: nearest neighbours and their distance in Å.
Element x y z (fractional)
1 Ca 0.7500 0.2500 0.5000  4 Ni 3.03, 4 Ca 3.35
2 Ca 0.2500 0.7500 0.5000  4 Ni 3.03, 4 Ca 3.35
3 Ni 0.4038 0.4038 0.1925  1 Ni 2.36
4 Ni 0.5962 0.5962 0.8075  1 Ni 2.36
5 Ba 0.0000 0.0000 0.0000  8 Ni 3.55, 8 Ca 3.87

Computed properties:
Total magnetization   0.00 μB/atom
Polymorph energy (0 for the lowest one)   0.009 eV/atom
Crystal system   tetragonal
Space group   I4/mmm



Entry 6:
# ScP4Au

ScP4Au after structural relaxation (PBE-GGA, Alexandria via LeMat-Bulk).

abc: 5.1552 5.1552 5.1552
angles: 60.00 60.00 60.00
Last column: nearest neighbours and their distance in Å.
Element x y z (fractional)
1 Sc 0.2500 0.2500 0.2500  12 P 3.03, 4 Au 3.16
2 P 0.6284 0.6284 0.1147  6 P 2.51-2.65
3 P 0.6284 0.1147 0.6284  6 P 2.51-2.65
4 P 0.6284 0.6284 0.6284  6 P 2.51-2.65
5 P 0.1147 0.6284 0.6284  6 P 2.51-2.65
6 Au 0.0000 0.0000 0.0000  12 P 3.02, 4 Sc 3.16

Computed properties:
VASP energy   -30.602 eV for the cell shown
Total magnetization   0.00 μB/atom
Crystal system   cubic
Space group   F-43m



Entry 7:
# As2Ru

As2Ru after structural relaxation (PBE-GGA, Alexandria via LeMat-Bulk).

abc: 4.2612 4.2612 3.0359
angles: 90.00 90.00 90.00
Last column: nearest neighbours and their distance in Å.
Element x y z (fractional)
1 Ru 0.0000 0.0000 0.0000  8 As 2.62
2 As 0.0000 0.5000 0.5000  4 Ru 2.62
3 As 0.5000 0.0000 0.5000  4 Ru 2.62

Computed properties:
VASP energy   -17.753 eV for the cell shown
Total magnetization   0.00 μB/atom
Crystal system   tetragonal
Space group   P4/mmm



Entry 8:
# PdRuAu3

PdRuAu3 after structural relaxation (PBE-GGA, Alexandria via LeMat-Bulk).

abc: 4.9787 4.9787 4.9787
angles: 90.00 90.00 90.00
Last column: nearest neighbours and their distance in Å.
Element x y z (fractional)
1 Ru 0.0000 0.0000 0.0000  6 Au 2.49
2 Pd 0.5000 0.5000 0.5000  12 Au 3.52
3 Au 0.0000 0.0000 0.5000  2 Ru 2.49
4 Au 0.0000 0.5000 0.0000  2 Ru 2.49
5 Au 0.5000 0.0000 0.0000  2 Ru 2.49

Computed properties:
Total magnetization   0.49 μB/atom
Polymorph energy (0 for the lowest one)   0.000 eV/atom
Crystal system   cubic
Space group   Pm-3m